{
  "formula": "Sc4TlGaHg2",
  "functional": "PBE-GGA",
  "state": "optimized geometry",
  "e_tot_ev_per_cell": -34.7,
  "spacegroup": "R-3m (166)",
  "lattice_angstrom": [[-0.895, 3.273, -3.625], [-4.612, 1.681, -0.744], [-0.446, 7.745, 3.702]],
  "species": ["Sc", "Sc", "Sc", "Sc", "Tl", "Ga", "Hg", "Hg"],
  "frac_coords": [[0.380, 0.380, 0.861], [0.871, 0.871, 0.387], [0.129, 0.129, 0.613], [0.620, 0.620, 0.139], [0.000, 0.000, 0.000], [0.500, 0.500, 0.500], [0.749, 0.749, 0.753], [0.251, 0.251, 0.247]]
}

{
  "formula": "DySnBr5",
  "functional": "PBE-GGA",
  "state": "optimized geometry",
  "e_tot_ev_per_cell": -53.0,
  "spacegroup": "P2_1/m (11)",
  "raw_formation_energy_ev_per_atom": -1.3600,
  "lattice_angstrom": [[4.267, 0.000, 0.000], [0.000, 8.442, -0.529], [0.000, -0.181, 13.942]],
  "species": ["Dy", "Dy", "Sn", "Sn", "Br", "Br", "Br", "Br", "Br", "Br", "Br", "Br", "Br", "Br"],
  "frac_coords": [[0.250, 0.411, 0.354], [0.750, 0.589, 0.646], [0.750, 0.095, 0.136], [0.250, 0.905, 0.864], [0.250, 0.084, 0.321], [0.750, 0.146, 0.932], [0.750, 0.324, 0.486], [0.250, 0.354, 0.141], [0.250, 0.396, 0.702], [0.750, 0.604, 0.298], [0.750, 0.646, 0.859], [0.250, 0.676, 0.514], [0.250, 0.854, 0.068], [0.750, 0.916, 0.679]]
}